No. 1
DFT (GGA-PBE) results for an optimized crystal structure of CaLa15Dy4.

Properties
ΔE_f = 32 kJ/mol of formula units
DFT total energy = -4.70 eV/atom

abc: 5.233 5.233 26.214
angles: 90.00 90.00 90.00
Fractional positions:
Ca 0.000 0.000 0.000
La 0.000 0.500 0.104
La 0.000 0.500 0.301
La 0.000 0.500 0.500
La 0.000 0.500 0.699
La 0.000 0.500 0.896
La 0.500 0.000 0.104
La 0.500 0.000 0.301
La 0.500 0.000 0.500
La 0.500 0.000 0.699
La 0.500 0.000 0.896
La 0.500 0.500 0.000
La 0.500 0.500 0.202
La 0.500 0.500 0.400
La 0.500 0.500 0.600
La 0.500 0.500 0.798
Dy 0.000 0.000 0.201
Dy 0.000 0.000 0.401
Dy 0.000 0.000 0.599
Dy 0.000 0.000 0.799

=====

No. 2
DFT (GGA-PBE) results for an optimized crystal structure of TlCd2.

Properties
ΔE_f = 9 kJ/mol of formula units
DFT total energy = -1.37 eV/atom

abc: 11.871 3.248 8.552
angles: 90.00 110.36 90.00
Fractional positions:
Tl 0.162 0.000 0.118
Tl 0.338 0.500 0.882
Tl 0.662 0.500 0.118
Tl 0.838 0.000 0.882
Cd 0.043 0.500 0.756
Cd 0.148 0.000 0.526
Cd 0.352 0.500 0.474
Cd 0.457 0.000 0.244
Cd 0.543 0.000 0.756
Cd 0.648 0.500 0.526
Cd 0.852 0.000 0.474
Cd 0.957 0.500 0.244